Record 1
Below is a relaxed K4Ac3NbO8 crystal, with properties calculated at the GGA-PBE level.

Space group: No. 166
ρ (g/cm3): 5.66
Magnetization (Bohr magnetons per cell): 0.0
Calculated total energy (eV/atom): -6.445

abc: 7.4354 7.7761 7.4342
angles: 118.58 120.01 90.00
Atoms (fractional coordinates):
Ac  0.5000  0.5000  0.0000
Ac  0.5000  0.5000  0.5000
Ac  0.0000  0.5000  0.5000
O  0.8067  0.3272  0.0204
O  0.1933  0.6728  0.9796
O  0.2137  0.3272  0.0204
O  0.7863  0.6728  0.9796
O  0.1934  0.6728  0.3868
O  0.7366  0.7096  0.4732
O  0.2634  0.2904  0.5268
O  0.8066  0.3272  0.6132
K  0.0000  0.0000  0.0000
K  0.0000  0.0000  0.5000
K  0.5000  0.0000  0.0000
K  0.5000  0.0000  0.5000
Nb  0.0000  0.5000  0.0000

=====

Record 2
Below is a relaxed FeReMo2 crystal, with properties calculated at the GGA-PBE level.

Space group: No. 65
ρ (g/cm3): 12.28
Formation enthalpy at 0 K (meV/atom): 209
Magnetization (Bohr magnetons per cell): 1.4

abc: 4.7618 4.7618 2.7533
angles: 90.00 90.00 109.91
Each line ends with the local moment (μB).
Atoms (fractional coordinates):
Fe  0.0000  0.5000  0.5000  1.73
Re  0.5000  0.0000  0.5000  -0.02
Mo  0.5000  0.5000  0.0000  -0.13
Mo  0.0000  0.0000  0.0000  -0.13

=====

Record 3
Below is a relaxed Rb2VPtCl6 crystal, with properties calculated at the GGA-PBE level.

Space group: No. 139
ρ (g/cm3): 3.71
Magnetization (Bohr magnetons per cell): 1.0
Calculated total energy (eV/atom): -3.938

abc: 7.8762 7.8762 7.1897
angles: 56.79 56.79 90.00
Each line ends with the local moment (μB).
Atoms (fractional coordinates):
Cl  0.7145  0.2855  0.0000  -0.01
Cl  0.2855  0.7145  0.0000  -0.01
Cl  0.7545  0.7545  0.4909  -0.08
Cl  0.2455  0.2455  0.5091  -0.08
Cl  0.2855  0.2855  0.0000  -0.01
Cl  0.7145  0.7145  0.0000  -0.01
Rb  0.7500  0.2500  0.5000  0.00
Rb  0.2500  0.7500  0.5000  0.00
V  0.5000  0.5000  0.0000  1.57
Pt  0.0000  0.0000  0.0000  -0.50

=====

Record 4
Below is a relaxed CaRe2Ir crystal, with properties calculated at the GGA-PBE level.

Space group: No. 12
ρ (g/cm3): 14.38
Formation enthalpy at 0 K (meV/atom): 238
Magnetization (Bohr magnetons per cell): 0.0

abc: 6.0305 6.0305 4.6545
angles: 67.41 67.41 26.67
Atoms (fractional coordinates):
Re  0.5371  0.5371  0.4629
Re  0.9629  0.9629  0.0371
Ca  0.7500  0.7500  0.7500
Ir  0.2500  0.2500  0.2500

=====

Record 5
Below is a relaxed CoTc2Ni2 crystal, with properties calculated at the GGA-PBE level.

Space group: No. 127
ρ (g/cm3): 9.18
Formation enthalpy at 0 K (meV/atom): 421
Magnetization (Bohr magnetons per cell): 3.7

abc: 7.2542 7.2542 2.5599
angles: 90.00 90.00 90.00
Each line ends with the local moment (μB).
Atoms (fractional coordinates):
Ni  0.1713  0.6713  0.5000  0.06
Ni  0.6713  0.8287  0.5000  0.05
Ni  0.3287  0.1713  0.5000  0.05
Ni  0.8287  0.3287  0.5000  0.06
Co  0.5000  0.5000  0.0000  1.79
Co  0.0000  0.0000  0.0000  1.80
Tc  0.8762  0.6238  0.0000  0.00
Tc  0.6238  0.1238  0.0000  0.01
Tc  0.1238  0.3762  0.0000  0.00
Tc  0.3762  0.8762  0.0000  0.01

=====

Record 6
Below is a relaxed Zr2ScZnO crystal, with properties calculated at the GGA-PBE level.

Space group: No. 123
ρ (g/cm3): 5.94
Magnetization (Bohr magnetons per cell): 0.0
Calculated total energy (eV/atom): -7.122

abc: 4.4739 4.4739 4.3110
angles: 90.00 90.00 90.00
Atoms (fractional coordinates):
Zr  0.5000  0.0000  0.0000
Zr  0.0000  0.5000  0.0000
Sc  0.0000  0.0000  0.5000
Zn  0.5000  0.5000  0.5000
O  0.0000  0.0000  0.0000